{
  "formula": "PuTaGe",
  "functional": "PBE",
  "state": "optimized geometry",
  "cell": [[1.718, 0.992, 11.052], [-1.718, 0.992, 11.052], [0.000, -1.984, 11.052]],
  "species": ["Pu", "Pu", "Ta", "Ta", "Ge", "Ge"],
  "frac_coords": [[0.147, 0.147, 0.147], [0.853, 0.853, 0.853], [0.303, 0.303, 0.303], [0.697, 0.697, 0.697], [0.418, 0.418, 0.418], [0.582, 0.582, 0.582]],
  "m_tot_mub_per_fu": 0.00,
  "dos_at_fermi_per_ev_cell": 7.4,
  "dft_energy_ev_per_atom": -10.2251
}

***

{
  "formula": "Sn4HgPb4",
  "functional": "PBE",
  "state": "optimized geometry",
  "cell": [[7.036, 0.000, 0.000], [0.000, 7.036, 0.000], [0.000, 0.000, 11.643]],
  "species": ["Sn", "Sn", "Sn", "Sn", "Sn", "Sn", "Sn", "Sn", "Hg", "Hg", "Pb", "Pb", "Pb", "Pb", "Pb", "Pb", "Pb", "Pb"],
  "frac_coords": [[0.038, 0.250, 0.198], [0.250, 0.038, 0.698], [0.250, 0.462, 0.698], [0.462, 0.250, 0.198], [0.538, 0.750, 0.802], [0.750, 0.538, 0.302], [0.750, 0.962, 0.302], [0.962, 0.750, 0.802], [0.250, 0.750, 0.250], [0.750, 0.250, 0.750], [0.013, 0.750, 0.522], [0.250, 0.513, 0.978], [0.250, 0.987, 0.978], [0.487, 0.750, 0.522], [0.513, 0.250, 0.478], [0.750, 0.013, 0.022], [0.750, 0.487, 0.022], [0.987, 0.250, 0.478]],
  "de_polymorph_ev_per_fu": 0.54,
  "m_tot_mub_per_fu": 0.00,
  "dos_at_fermi_per_ev_cell": 7.5,
  "dft_energy_ev_per_atom": -3.3651
}

***

Record order is preserved below.
ΔH_f (0 K): 0.973, 2.204 kcal/mol of atoms